## CdFeBi (PBE)

Data for a relaxed CdFeBi crystal.

The space group is No. 216. The offset from the most stable computed form is 0.000 eV/atom. The theoretical density comes out at 8.27 g/cm3.

a = 4.7500 Å, b = 4.7500 Å, c = 4.7500 Å
α = 60.00°, β = 60.00°, γ = 60.00°
Positions (direct):
Fe1 0.7500 0.7500 0.7500
Cd1 0.2500 0.2500 0.2500
Bi1 0.0000 0.0000 0.0000



## CdFeHgBi (PBE)

Data for a relaxed CdFeHgBi crystal.

The space group is No. 216. The offset from the most stable computed form is 0.000 eV/atom. The theoretical density comes out at 10.70 g/cm3.

a = 5.0240 Å, b = 5.0240 Å, c = 5.0240 Å
α = 60.00°, β = 60.00°, γ = 60.00°
Positions (direct):
Bi1 0.0000 0.0000 0.0000
Cd1 0.2500 0.2500 0.2500
Fe1 0.7500 0.7500 0.7500
Hg1 0.5000 0.5000 0.5000